(1)
The following is a GGA-PBE calculation of a geometry-optimized CdSn2Bi2Pd7 structure, from Alexandria.

E = -4.667 eV/atom

```
data_CdSn2Bi2Pd7
_symmetry_space_group_name_H-M 'C 1 2/m 1'
_symmetry_Int_Tables_number 12
_cell_length_a 5.606
_cell_length_b 5.649
_cell_length_c 15.974
_cell_angle_alpha 90.00
_cell_angle_beta 94.89
_cell_angle_gamma 90.00
loop_
_symmetry_equiv_pos_as_xyz
'x,y,z'
'-x,-y,-z'
'-x,y,-z'
'x,-y,z'
'x+1/2,y+1/2,z'
'-x+1/2,-y+1/2,-z'
'-x+1/2,y+1/2,-z'
'x+1/2,-y+1/2,z'
loop_
_atom_site_label
_atom_site_fract_x
_atom_site_fract_y
_atom_site_fract_z
Cd1 0.000 0.000 0.000
Sn1 0.130 0.000 0.415
Bi1 0.064 0.500 0.249
Pd1 0.000 0.500 0.000
Pd2 0.127 0.500 0.425
Pd3 0.217 0.250 0.869
```

(2)
The following is a GGA-PBE calculation of a geometry-optimized TbBeOs structure, from Alexandria.

E = -6.667 eV/atom
Energy relative to the lowest polymorph listed for this composition = 76 meV/atom

```
data_TbBeOs
_symmetry_space_group_name_H-M 'P -6 m 2'
_symmetry_Int_Tables_number 187
_symmetry_space_group_name_Hall 'P -6 2'
_cell_length_a 3.9996
_cell_length_b 3.9996
_cell_length_c 3.8083
_cell_angle_alpha 90.00
_cell_angle_beta 90.00
_cell_angle_gamma 120.00
loop_
_atom_site_label
_atom_site_fract_x
_atom_site_fract_y
_atom_site_fract_z
Tb1 0.0000 0.0000 0.0000
Be1 0.3333 0.6667 0.5000
Os1 0.6667 0.3333 0.5000
```

(3)
The following is a GGA-PBE calculation of a geometry-optimized Ba2Tl3Sn structure, from Alexandria.

E = -2.843 eV/atom
Energy relative to the lowest polymorph listed for this composition = 72 meV/atom

```
data_Ba2Tl3Sn
_symmetry_space_group_name_H-M 'F m m m'
_symmetry_Int_Tables_number 69
_symmetry_space_group_name_Hall '-F 2 2'
_cell_length_a 10.141
_cell_length_b 10.214
_cell_length_c 17.550
_cell_angle_alpha 90.00
_cell_angle_beta 90.00
_cell_angle_gamma 90.00
loop_
_atom_site_label
_atom_site_fract_x
_atom_site_fract_y
_atom_site_fract_z
Ba1 0.000 0.246 0.000
Ba2 0.250 0.250 0.250
Tl1 0.000 0.000 0.333
Tl2 0.250 0.000 0.084
Sn1 0.000 0.000 0.167
```

no.,volume (A^3/atom)
1,21.000
2,17.586
3,37.869